# Ag6SBr2Cl2 GGA-PBE relaxed
# ρ in g/cm3: 4.87
# Energy in Ry/atom: -0.2069
# V in Å³/atom: 28.215
data_Ag6SBr2Cl2
_symmetry_space_group_name_H-M 'C 1 2/m 1'
_symmetry_Int_Tables_number 12
_cell_length_a 8.4768
_cell_length_b 11.2943
_cell_length_c 7.5689
_cell_angle_alpha 90.00
_cell_angle_beta 121.06
_cell_angle_gamma 90.00
loop_
_symmetry_equiv_pos_as_xyz
'x,y,z'
'-x,-y,-z'
'-x,y,-z'
'x,-y,z'
'x+1/2,y+1/2,z'
'-x+1/2,-y+1/2,-z'
'-x+1/2,y+1/2,-z'
'x+1/2,-y+1/2,z'
loop_
_atom_site_label
_atom_site_fract_x
_atom_site_fract_y
_atom_site_fract_z
_atom_site_occupancy
Ag1 0.1890 0.1539 0.2696 1
Ag2 0.2041 0.5000 0.9786 1
S1 0.0000 0.0000 0.0000 1
Br1 0.0000 0.2280 0.5000 1
Cl1 0.0000 0.3406 0.0000 1